1.
{"formula": "Ti2NbVC4", "functional": "PBE-GGA", "state": "relaxed", "dos_ef_per_ev_fu": 2.1, "formation_energy_ev_per_atom": -0.31, "volume_a3_per_cell": 174, "cell": [[3.050, 0.000, 0.000], [-1.525, 5.456, 0.000], [0.000, 0.000, 10.485]], "species": ["V", "V", "Nb", "Nb", "Ti", "Ti", "Ti", "Ti", "C", "C", "C", "C", "C", "C", "C", "C"], "frac_coords": [[0.092, 0.185, 0.250], [0.908, 0.815, 0.750], [0.171, 0.341, 0.750], [0.829, 0.659, 0.250], [0.635, 0.269, 0.477], [0.365, 0.731, 0.523], [0.365, 0.731, 0.977], [0.635, 0.269, 0.023], [0.764, 0.527, 0.876], [0.000, 0.000, 0.000], [0.483, 0.966, 0.250], [0.236, 0.473, 0.124], [0.517, 0.034, 0.750], [0.236, 0.473, 0.376], [0.000, 0.000, 0.500], [0.764, 0.527, 0.624]]}

2.
{"formula": "TiNbZnC", "functional": "PBE-GGA", "state": "relaxed", "dos_ef_per_ev_fu": 3.2, "formation_energy_ev_per_atom": -0.45, "volume_a3_per_cell": 57, "cell": [[3.097, 0.000, -0.001], [-1.548, 2.682, 0.000], [-1.550, -0.894, 6.910]], "species": ["Zn", "C", "Ti", "Nb"], "frac_coords": [[0.967, 0.381, 0.362], [0.309, 0.553, 0.877], [0.083, 0.940, 0.038], [0.519, 0.157, 0.692]]}

3.
{"formula": "Ti2NbZnC", "functional": "PBE-GGA", "state": "relaxed", "dos_ef_per_ev_fu": 3.8, "formation_energy_ev_per_atom": -0.38, "volume_a3_per_cell": 75, "cell": [[4.159, 0.000, 0.000], [0.000, 4.159, 0.000], [0.000, 0.000, 4.313]], "species": ["Ti", "Ti", "Zn", "Nb", "C"], "frac_coords": [[0.000, 0.500, 0.000], [0.500, 0.000, 0.000], [0.500, 0.500, 0.500], [0.000, 0.000, 0.500], [0.000, 0.000, 0.000]]}

4.
{"formula": "ZrTiNb2C4", "functional": "PBE-GGA", "state": "relaxed", "dos_ef_per_ev_fu": 2.5, "formation_energy_ev_per_atom": -0.64, "volume_a3_per_cell": 92, "cell": [[-0.001, 1.848, 2.607], [-4.853, -2.195, 1.554], [0.920, -4.450, 3.155]], "species": ["C", "C", "C", "C", "Nb", "Nb", "Ti", "Zr"], "frac_coords": [[0.500, 0.750, 0.257], [0.000, 0.244, 0.260], [0.500, 0.250, 0.743], [0.000, 0.756, 0.740], [0.000, 0.000, 0.000], [0.500, 0.000, 0.500], [0.000, 0.500, 0.500], [0.500, 0.500, 0.000]]}

5.
{"formula": "Zr2TiNbC4", "functional": "PBE-GGA", "state": "relaxed", "dos_ef_per_ev_fu": 1.4, "formation_energy_ev_per_atom": -0.72, "volume_a3_per_cell": 96, "cell": [[-3.020, 0.949, 0.701], [-1.774, -2.024, -4.903], [-0.353, -4.003, 3.901]], "species": ["Ti", "C", "C", "C", "C", "Nb", "Zr", "Zr"], "frac_coords": [[0.000, 0.000, 0.000], [0.000, 0.252, 0.763], [0.500, 0.757, 0.765], [0.000, 0.748, 0.237], [0.500, 0.243, 0.235], [0.500, 0.500, 0.000], [0.000, 0.500, 0.500], [0.500, 0.000, 0.500]]}

6.
{"formula": "NbTlC2", "functional": "PBE-GGA", "state": "relaxed", "de_polymorph_mev_per_atom": 1097, "dos_ef_per_ev_fu": 3.5, "formation_energy_ev_per_atom": 1.96, "volume_a3_per_cell": 52, "cell": [[-3.712, 0.268, 1.916], [-3.328, 1.457, -2.079], [-3.101, -2.599, -1.072]], "species": ["Nb", "C", "C", "Tl"], "frac_coords": [[0.000, 0.000, 0.000], [0.750, 0.750, 0.750], [0.250, 0.250, 0.250], [0.500, 0.500, 0.500]]}